Compound: SrRuO3
Source: the Alexandria database
Functional: GGA-PBEsol
Structure: relaxed

Output
Theoretical density   6.62 g cm⁻³
Space-group type   No. 63
Raw formation energy   -1.810 eV/atom
Calculated volume   118.67 Å³ per cell
Total magnetization   0.0 Bohr magnetons per cell

The structure in CIF format:
```
data_SrRuO3
_space_group_name_H-M_alt 'P 1'
_space_group_IT_number 1
_space_group_name_Hall 'P 1'
_cell_length_a 3.211
_cell_length_b 5.248
_cell_length_c 7.397
_cell_angle_alpha 90.00
_cell_angle_beta 90.00
_cell_angle_gamma 107.81
loop_
_atom_site_label
_atom_site_fract_x
_atom_site_fract_y
_atom_site_fract_z
O1 0.381 0.761 0.546
Ru1 0.000 0.000 0.500
O2 0.943 0.885 0.250
Sr1 0.250 0.499 0.250
Sr2 0.750 0.501 0.750
O3 0.381 0.761 0.954
O4 0.619 0.239 0.454
Ru2 0.000 0.000 0.000
O5 0.619 0.239 0.046
O6 0.057 0.115 0.750
```

=====

Compound: Sr2RuO4
Source: the Alexandria database
Functional: GGA-PBEsol
Structure: relaxed

Output
Theoretical density   6.05 g cm⁻³
Space-group type   No. 139
Raw formation energy   -2.160 eV/atom
Calculated volume   93.39 Å³ per cell
Total magnetization   0.0 Bohr magnetons per cell

The structure in CIF format:
```
data_Sr2RuO4
_space_group_name_H-M_alt 'P 1'
_space_group_IT_number 1
_space_group_name_Hall 'P 1'
_cell_length_a 3.834
_cell_length_b 3.834
_cell_length_c 6.907
_cell_angle_alpha 106.12
_cell_angle_beta 106.12
_cell_angle_gamma 90.00
loop_
_atom_site_label
_atom_site_fract_x
_atom_site_fract_y
_atom_site_fract_z
O1 0.838 0.838 0.675
O2 0.162 0.162 0.325
Ru1 0.000 0.000 0.000
O3 0.000 0.500 0.000
Sr1 0.647 0.647 0.295
O4 0.500 0.000 0.000
Sr2 0.353 0.353 0.705
```

=====

Compound: SrRuO3
Source: the Alexandria database
Functional: GGA-PBEsol
Structure: relaxed

Output
Theoretical density   6.58 g cm⁻³
Space-group type   No. 74
Raw formation energy   -1.841 eV/atom
Calculated volume   119.43 Å³ per cell
Total magnetization   3.6 Bohr magnetons per cell

The structure in CIF format:
```
data_SrRuO3
_space_group_name_H-M_alt 'P 1'
_space_group_IT_number 1
_space_group_name_Hall 'P 1'
_cell_length_a 5.489
_cell_length_b 5.521
_cell_length_c 5.521
_cell_angle_alpha 60.86
_cell_angle_beta 60.20
_cell_angle_gamma 60.20
loop_
_atom_site_label
_atom_site_fract_x
_atom_site_fract_y
_atom_site_fract_z
Sr1 0.750 0.254 0.246
O1 0.786 0.714 0.214
Sr2 0.250 0.746 0.754
O2 0.214 0.286 0.786
O3 0.286 0.714 0.214
Ru1 0.000 0.500 0.500
O4 0.750 0.815 0.685
Ru2 0.500 0.000 0.000
O5 0.250 0.185 0.315
O6 0.714 0.286 0.786
```

=====

Question: Number 1 is which compound?
Answer: SrRuO3

=====

Question: Look up the theoretical density of the third one.
Answer: 6.58 g cm⁻³